The following is a DFT calculation (meta-GGA SCAN) of ScTa2Fe at its PBEsol-relaxed geometry.

Unit cell a=9.081 b=9.081 c=9.081 alpha=18.75 beta=18.75 gamma=18.75
Fractional coordinates of all 4 atoms:
Sc (0.000, 0.000, 0.000)
Ta (0.239, 0.239, 0.239)
Ta (0.761, 0.761, 0.761)
Fe (0.500, 0.500, 0.500)

ΔE to the lowest computed polymorph in meV/atom: 62
Size of the total moment in μB per atom: 0.36
Formation energy from the elements in eV per atom: 0.29
Calculated volume in A^3/atom: 16.90